A geometry-optimized CsAg3Sb structure, computed with GGA-PBE.

The density of states at the Fermi level comes out at 1.20 states/eV per atom. As for the magnetization: 0.0 μB per formula unit. Its uncorrected formation energy is 1.3560 eV per atom.

Lattice parameters (Å, degrees): 5.7834 5.7834 5.7834 90.00 90.00 90.00
Closest atoms and distances in Å follow each position.
Positions (direct):
Cs 0.0000 0.0000 0.0000  6 Ag 2.89
Ag 0.0000 0.0000 0.5000  2 Cs 2.89
Ag 0.0000 0.5000 0.0000  2 Cs 2.89
Ag 0.5000 0.0000 0.0000  2 Cs 2.89
Sb 0.5000 0.5000 0.5000  12 Ag 4.09